The following is a DFT calculation (GGA+U) of an optimized crystal structure of KCo3O.

Output
The energy above the lowest structure with this stoichiometry is 2008.1 meV per atom. As for the theoretical density: 3.4 g/cm3. For the density of states at the Fermi level, the calculation gives 2.0 states/eV/f.u. The value obtained for the magnetization is 6.3 μB/f.u.

The structure in CIF format:
```
data_KCo3O
_cell_length_a 4.8475
_cell_length_b 4.8475
_cell_length_c 4.8475
_cell_angle_alpha 90.00
_cell_angle_beta 90.00
_cell_angle_gamma 90.00
_symmetry_space_group_name_H-M 'P 1'
_symmetry_Int_Tables_number 1
_symmetry_space_group_name_Hall 'P 1'
loop_
_atom_site_label
_atom_site_type_symbol
_atom_site_fract_x
_atom_site_fract_y
_atom_site_fract_z
K1 K 0.0000 0.0000 0.0000
Co1 Co 0.0000 0.5000 0.0000
Co2 Co 0.0000 0.0000 0.5000
Co3 Co 0.5000 0.0000 0.0000
O1 O 0.5000 0.5000 0.5000
```